A geometry-optimized LuTiTcNi structure. Source: Alexandria, functional PBE.

Cell lengths 6.3801, 6.3801, 6.3801 Å; angles 90.00, 90.00, 90.00 degrees
Last column: nearest neighbours and their distance in Å.
Space group F-43m (No. 216)
One atom of each set of equivalent atoms:
Lu 0.0000 0.0000 0.0000 (multiplicity 4)  4 Ni 2.76, 4 Tc 2.76
Ti 0.0000 0.0000 0.5000 (multiplicity 4)  4 Tc 2.76, 4 Ni 2.76
Tc 0.2500 0.2500 0.7500 (multiplicity 4)  4 Ti 2.76, 4 Lu 2.76
Ni 0.2500 0.2500 0.2500 (multiplicity 4)  4 Ti 2.76, 4 Lu 2.76

Summary:
As for the calculated formation energy: -0.31 eV per atom.

***

A geometry-optimized YLuTcNi structure. Source: Alexandria, functional PBE.

Cell lengths 6.7430, 6.7430, 6.7430 Å; angles 90.00, 90.00, 90.00 degrees
Last column: nearest neighbours and their distance in Å.
Space group F-43m (No. 216)
One atom of each set of equivalent atoms:
Y 0.0000 0.0000 0.0000 (multiplicity 4)  4 Tc 2.92, 4 Ni 2.92
Lu 0.0000 0.0000 0.5000 (multiplicity 4)  4 Tc 2.92, 4 Ni 2.92
Tc 0.2500 0.2500 0.7500 (multiplicity 4)  4 Y 2.92, 4 Lu 2.92
Ni 0.2500 0.2500 0.2500 (multiplicity 4)  4 Y 2.92, 4 Lu 2.92

Summary:
As for the calculated formation energy: -0.15 eV per atom.

***

A geometry-optimized LuZrTcNi structure. Source: Alexandria, functional PBE.

Cell lengths 6.5840, 6.5840, 6.5840 Å; angles 90.00, 90.00, 90.00 degrees
Last column: nearest neighbours and their distance in Å.
Space group F-43m (No. 216)
One atom of each set of equivalent atoms:
Lu 0.0000 0.0000 0.0000 (multiplicity 4)  4 Tc 2.85, 4 Ni 2.85
Zr 0.0000 0.0000 0.5000 (multiplicity 4)  4 Ni 2.85, 4 Tc 2.85
Tc 0.2500 0.2500 0.2500 (multiplicity 4)  4 Zr 2.85, 4 Lu 2.85
Ni 0.2500 0.2500 0.7500 (multiplicity 4)  4 Zr 2.85, 4 Lu 2.85

Summary:
As for the calculated formation energy: -0.34 eV per atom.

***

A geometry-optimized Lu3Ni5Te12 structure. Source: Alexandria, functional PBE.

Cell lengths 16.2283, 16.2283, 16.2283 Å; angles 90.00, 90.00, 90.00 degrees
Last column: nearest neighbours and their distance in Å.
Space group Ia-3d (No. 230)
One atom of each set of equivalent atoms:
Lu 0.0000 0.2500 0.1250 (multiplicity 24)  8 Te 3.13-3.18
Ni 0.0000 0.0000 0.0000 (multiplicity 16)  6 Te 2.61
Ni 0.0000 0.2500 0.3750 (multiplicity 24)  4 Te 2.48
Te 0.0277 0.0576 0.6476 (multiplicity 96)  2 Ni 2.48-2.61

Summary:
Its total energy is -4.471 eV per atom.